(1)
{
  "formula": "Hg3GeF6",
  "functional": "PBE-GGA",
  "state": "optimized geometry",
  "energy_ev_per_atom": -3.2871,
  "lattice": [[5.317, 0.000, 0.000], [-2.659, 4.605, 0.000], [0.000, 0.000, 6.697]],
  "species": ["Hg", "Hg", "Hg", "Ge", "F", "F", "F", "F", "F", "F"],
  "frac_coords": [[0.000, 0.000, 0.000], [0.333, 0.667, 0.000], [0.667, 0.333, 0.000], [0.000, 0.000, 0.500], [0.000, 0.277, 0.336], [0.000, 0.723, 0.664], [0.277, 0.000, 0.336], [0.277, 0.277, 0.664], [0.723, 0.000, 0.664], [0.723, 0.723, 0.336]]
}



(2)
{
  "formula": "DyMgIn6",
  "functional": "PBE-GGA",
  "state": "optimized geometry",
  "formation_energy_ev_per_atom": -0.184,
  "lattice": [[4.672, -4.680, 0.000], [4.672, 4.680, 0.000], [0.000, 0.000, 4.587]],
  "species": ["Dy", "Mg", "In", "In", "In", "In", "In", "In"],
  "frac_coords": [[0.000, 0.000, 0.000], [0.500, 0.500, 0.000], [0.000, 0.500, 0.000], [0.253, 0.747, 0.500], [0.254, 0.254, 0.500], [0.500, 0.000, 0.000], [0.746, 0.746, 0.500], [0.747, 0.253, 0.500]]
}



(3)
{
  "formula": "HoHg3Pb3",
  "functional": "PBE-GGA",
  "state": "optimized geometry",
  "formation_energy_ev_per_atom": -0.055,
  "lattice": [[5.143, 2.969, 2.237], [-5.143, 2.969, 2.237], [0.000, -5.938, 2.237]],
  "species": ["Ho", "Hg", "Hg", "Hg", "Pb", "Pb", "Pb"],
  "frac_coords": [[0.000, 0.000, 0.000], [0.476, 0.995, 0.995], [0.995, 0.476, 0.995], [0.995, 0.995, 0.476], [0.481, 0.481, 0.903], [0.481, 0.903, 0.481], [0.903, 0.481, 0.481]]
}



(4)
{
  "formula": "Pu4ScPa3P8",
  "functional": "PBE-GGA",
  "state": "optimized geometry",
  "formation_energy_ev_per_atom": -1.267,
  "lattice": [[3.967, 2.291, 6.452], [-3.967, 2.291, 6.452], [0.000, -4.581, 6.452]],
  "species": ["Pu", "Pu", "Pu", "Pu", "Sc", "Pa", "Pa", "Pa", "P", "P", "P", "P", "P", "P", "P", "P"],
  "frac_coords": [[0.000, 0.000, 0.000], [0.000, 0.500, 0.500], [0.500, 0.000, 0.500], [0.500, 0.500, 0.000], [0.500, 0.500, 0.500], [0.000, 0.000, 0.500], [0.000, 0.500, 0.000], [0.500, 0.000, 0.000], [0.250, 0.250, 0.250], [0.253, 0.745, 0.745], [0.255, 0.255, 0.747], [0.255, 0.747, 0.255], [0.745, 0.253, 0.745], [0.745, 0.745, 0.253], [0.747, 0.255, 0.255], [0.750, 0.750, 0.750]]
}



(5)
{
  "formula": "RbZrAlSe4",
  "functional": "PBE-GGA",
  "state": "optimized geometry",
  "energy_ev_per_atom": -5.0473,
  "lattice": [[6.583, 0.000, 0.000], [0.000, 7.116, 0.000], [-0.822, 0.000, 8.865]],
  "species": ["Rb", "Rb", "Zr", "Zr", "Al", "Al", "Se", "Se", "Se", "Se", "Se", "Se", "Se", "Se"],
  "frac_coords": [[0.220, 0.250, 0.057], [0.780, 0.750, 0.943], [0.179, 0.750, 0.454], [0.821, 0.250, 0.546], [0.346, 0.250, 0.650], [0.654, 0.750, 0.350], [0.101, 0.501, 0.687], [0.101, 0.999, 0.687], [0.350, 0.750, 0.185], [0.448, 0.250, 0.405], [0.552, 0.750, 0.595], [0.650, 0.250, 0.815], [0.899, 0.001, 0.313], [0.899, 0.499, 0.313]]
}



(6)
{
  "formula": "Ba2SrTiBr",
  "functional": "PBE-GGA",
  "state": "optimized geometry",
  "energy_ev_per_atom": -2.8012,
  "lattice": [[6.387, 0.000, 0.000], [0.000, 6.387, 0.000], [0.000, 0.000, 6.379]],
  "species": ["Ba", "Ba", "Sr", "Ti", "Br"],
  "frac_coords": [[0.000, 0.500, 0.000], [0.500, 0.000, 0.000], [0.000, 0.000, 0.500], [0.000, 0.000, 0.000], [0.500, 0.500, 0.500]]
}



(7)
{
  "formula": "SbAsS3",
  "functional": "PBE-GGA",
  "state": "optimized geometry",
  "e_above_lowest_polymorph_ev_per_atom": 0.000,
  "lattice": [[11.100, 0.000, 0.000], [0.000, 3.748, 0.000], [0.000, 0.000, 12.367]],
  "species": ["Sb", "Sb", "Sb", "Sb", "As", "As", "As", "As", "S", "S", "S", "S", "S", "S", "S", "S", "S", "S", "S", "S"],
  "frac_coords": [[0.171, 0.250, 0.034], [0.329, 0.750, 0.534], [0.671, 0.250, 0.466], [0.829, 0.750, 0.966], [0.042, 0.250, 0.620], [0.458, 0.750, 0.120], [0.542, 0.250, 0.880], [0.958, 0.750, 0.380], [0.056, 0.750, 0.128], [0.123, 0.250, 0.452], [0.176, 0.750, 0.689], [0.324, 0.250, 0.189], [0.377, 0.750, 0.952], [0.444, 0.250, 0.628], [0.556, 0.750, 0.372], [0.623, 0.250, 0.048], [0.676, 0.750, 0.811], [0.824, 0.250, 0.311], [0.877, 0.750, 0.548], [0.944, 0.250, 0.872]]
}



(8)
{
  "formula": "CoHgH3",
  "functional": "PBE-GGA",
  "state": "optimized geometry",
  "e_above_lowest_polymorph_ev_per_atom": 0.000,
  "lattice": [[3.444, 0.000, 0.000], [0.000, 3.444, 0.000], [0.000, 0.000, 3.444]],
  "species": ["Co", "Hg", "H", "H", "H"],
  "frac_coords": [[0.000, 0.000, 0.000], [0.500, 0.500, 0.500], [0.000, 0.000, 0.500], [0.000, 0.500, 0.000], [0.500, 0.000, 0.000]]
}



> What is the formula in the third record?

HoHg3Pb3



> Which formula does entry 1 have?

Hg3GeF6